i | VASP calculation (GGA-PBE) on a relaxed structure of MgCdMo2.

Unit cell a=3.2942 b=3.2942 c=6.7415 alpha=90.00 beta=90.00 gamma=90.00
Last column: nearest neighbours and their distance in Å.
Positions (direct):
Mg 0.0000 0.0000 0.0000  4 Cd 2.95, 5 Mo 2.96-3.00, 4 Mg 3.29
Cd 0.5000 0.5000 0.7318  4 Mg 2.95, 5 Mo 3.03-3.10, 4 Cd 3.29
Mo 0.0000 0.0000 0.4445  4 Mo 2.60
Mo 0.5000 0.5000 0.2719  4 Mo 2.60

SG ... P4mm
Density of states at the Fermi level ... 0.8204 states/eV/atom

---

ii | VASP calculation (GGA-PBE) on a relaxed structure of MgCdMo2.

Unit cell a=2.7482 b=2.7482 c=9.3910 alpha=90.00 beta=90.00 gamma=90.00
Last column: nearest neighbours and their distance in Å.
Positions (direct):
Mg 0.0000 0.0000 0.0000  4 Mg 2.75, 4 Mo 2.96
Cd 0.5000 0.5000 0.7316  4 Cd 2.75, 4 Mo 3.04
Mo 0.0000 0.0000 0.4828  8 Mo 2.75-3.01, 4 Cd 3.04
Mo 0.5000 0.5000 0.2380  8 Mo 2.75-3.01, 4 Mg 2.96

SG ... P4mm
Density of states at the Fermi level ... 0.6800 states/eV/atom

---

Energy ordering: i at the bottom, the next structure 160 meV per atom above.